Tl3In5Hg2 | PBE | relaxed

## Properties
space-group type	Ibam (72)
energy	-41.61	eV per cell

Cell lengths 7.217, 10.349, 10.345 Å; angles 120.01, 110.42, 90.00 degrees
Fractional positions:
Tl 0.250 0.000 0.000
Tl 0.750 0.000 0.000
Tl 0.618 0.379 0.236
Tl 0.382 0.621 0.764
Tl 0.118 0.857 0.236
Tl 0.882 0.143 0.764
In 0.250 0.500 0.000
In 0.750 0.500 0.000
In 0.950 0.700 0.399
In 0.550 0.300 0.601
In 0.050 0.300 0.601
In 0.450 0.700 0.399
In 0.903 0.593 0.806
In 0.097 0.407 0.194
In 0.403 0.213 0.806
In 0.597 0.787 0.194
Hg 0.840 0.789 0.680
Hg 0.160 0.211 0.320
Hg 0.340 0.890 0.680
Hg 0.660 0.110 0.320